This record from Alexandria describes Cs2BN after structural relaxation. The functional is GGA-PBEsol.

## Properties
Energy = -16.2 eV per formula unit
Symmetry = I-42d
Formation energy (no corrections) = 1.20 eV/f.u.

abc: 12.346 12.346 2.968
angles: 90.00 90.00 90.00
Fractional coordinates of all 16 atoms:
Cs: 0.035 0.750 0.125
Cs: 0.250 0.035 0.875
Cs: 0.250 0.465 0.375
Cs: 0.465 0.750 0.625
Cs: 0.535 0.250 0.625
Cs: 0.750 0.535 0.375
Cs: 0.750 0.965 0.875
Cs: 0.965 0.250 0.125
B: 0.000 0.000 0.500
B: 0.000 0.500 0.750
B: 0.500 0.000 0.250
B: 0.500 0.500 0.000
N: 0.000 0.000 0.000
N: 0.000 0.500 0.250
N: 0.500 0.000 0.750
N: 0.500 0.500 0.500